(1)
VASP calculation (GGA-PBE) on a geometry-optimized Fe2ReSe structure.

```
Fe2ReSe
1.0
3.7243 0.0000 0.0000
0.0000 3.7243 0.0000
0.0000 0.0000 3.9462
Fe Re Se
2 1 1
direct
0.0000 0.5000 0.0000
0.5000 0.0000 0.0000
0.0000 0.0000 0.5000
0.5000 0.5000 0.5000
```

Summary:
Crystal system ... tetragonal
ΔE_f (raw) ... 59 kJ per mole of atoms

---

(2)
VASP calculation (GGA-PBE) on a geometry-optimized TbErO3 structure.

```
TbErO3
1.0
2.8041 1.6190 5.4565
-2.8041 1.6190 5.4565
0.0000 -3.2379 5.4565
Tb Er O
2 2 6
direct
0.1451 0.1451 0.1451
0.8549 0.8549 0.8549
0.3521 0.3521 0.3521
0.6479 0.6479 0.6479
0.0460 0.4595 0.7429
0.2571 0.5405 0.9540
0.4595 0.7429 0.0461
0.5405 0.9540 0.2571
0.7429 0.0461 0.4595
0.9540 0.2571 0.5405
```

Summary:
Crystal system ... trigonal
ΔE_f (raw) ... -329 kJ per mole of atoms

---

(3)
VASP calculation (GGA-PBE) on a geometry-optimized Tb4DySc5 structure.

```
Tb4DySc5
1.0
-5.0875 5.0875 2.8077
5.0875 -5.0875 2.8077
5.0875 5.0875 -2.8077
Tb Dy Sc
4 1 5
direct
0.0000 0.3212 0.3212
0.0000 0.6788 0.6788
0.3212 0.0000 0.3212
0.6788 0.0000 0.6788
0.7479 0.7479 0.0000
0.2284 0.2284 0.0000
0.2851 0.2851 0.6206
0.2851 0.6645 0.0000
0.6645 0.2851 0.0000
0.6645 0.6645 0.3794
```

Summary:
ΔE_f ... 230.9 kJ/mol of formula units
Crystal system ... tetragonal

---

(4)
VASP calculation (GGA-PBE) on a geometry-optimized YMn3As structure.

```
YMn3As
1.0
4.6212 0.0000 0.0000
0.0000 4.6212 0.0000
0.0000 0.0000 4.6212
Y Mn As
1 3 1
direct
0.0000 0.0000 0.0000
0.0000 0.5000 0.5000
0.5000 0.0000 0.5000
0.5000 0.5000 0.0000
0.5000 0.5000 0.5000
```

Summary:
ΔE_f ... 105.3 kJ/mol of formula units
Crystal system ... cubic

---

(5)
VASP calculation (GGA-PBE) on a geometry-optimized LaGa2CoP structure.

```
LaGa2CoP
1.0
4.5240 0.0000 0.0000
0.0000 4.5240 0.0000
0.0000 0.0000 4.6996
La Ga Co P
1 2 1 1
direct
0.0000 0.0000 0.0000
0.0000 0.5000 0.5000
0.5000 0.0000 0.5000
0.5000 0.5000 0.5000
0.5000 0.5000 0.0000
```

Summary:
ΔE_f ... -195.7 kJ/mol of formula units
Crystal system ... tetragonal

---

(6)
VASP calculation (GGA-PBE) on a geometry-optimized NaSrAlCl6 structure.

```
NaSrAlCl6
1.0
6.8697 0.0000 0.0000
-3.4348 5.9493 0.0000
0.0000 0.0000 6.1329
Na Sr Al Cl
1 1 1 6
direct
0.0000 0.0000 0.0000
0.3333 0.6667 0.5000
0.6667 0.3333 0.5000
0.3846 0.0571 0.7256
0.3846 0.3276 0.2744
0.6724 0.0571 0.2744
0.6724 0.6154 0.7256
0.9429 0.3276 0.7256
0.9429 0.6154 0.2744
```

Summary:
Crystal system ... trigonal
ΔE_f (raw) ... -179 kJ per mole of atoms